Entry from Alexandria via LeMat-Bulk: a geometry-optimized Ac3Al2MoO9 structure (PBE+U).

Properties
The value obtained for the total energy is -116.628 eV/cell. Its space group is P-3m1. The value obtained for the calculated density is 8.588 g cm⁻³.

a = 5.602 Å, b = 5.602 Å, c = 6.936 Å
α = 90.00°, β = 90.00°, γ = 120.00°
Atoms (fractional coordinates):
Ac  0.000  0.000  0.000
Ac  0.333  0.667  0.675
Ac  0.667  0.333  0.325
Al  0.333  0.667  0.160
Al  0.667  0.333  0.840
Mo  0.000  0.000  0.500
O  0.000  0.500  0.000
O  0.174  0.348  0.318
O  0.174  0.826  0.318
O  0.348  0.174  0.682
O  0.500  0.000  0.000
O  0.500  0.500  0.000
O  0.652  0.826  0.318
O  0.826  0.174  0.682
O  0.826  0.652  0.682